Version 1
Below is a crystal of AgC relaxed with PBEsol, with properties calculated at the meta-GGA SCAN level.

Results
V = 14.02 A^3/atom

a = 4.8885 Å, b = 4.8885 Å, c = 5.4204 Å
α = 90.00°, β = 90.00°, γ = 120.00°
Element x y z (fractional)
C1 0.6667 0.3333 0.6326
Ag1 0.6667 0.3333 0.2500
Ag2 0.0000 0.0000 0.2500
Ag3 0.0000 0.0000 0.7500
C2 0.6667 0.3333 0.8674
C3 0.3333 0.6667 0.3674
C4 0.3333 0.6667 0.1326
Ag4 0.3333 0.6667 0.7500



Version 2
Below is a crystal of AgC relaxed with PBEsol, with properties calculated at the meta-GGA SCAN level.

Results
V = 12.30 A^3/atom

a = 2.8125 Å, b = 3.1777 Å, c = 3.1777 Å
α = 120.00°, β = 90.00°, γ = 90.00°
Element x y z (fractional)
Ag1 0.0000 0.0000 0.0000
C1 0.5000 0.3333 0.6667



Version 3
Below is a crystal of AgC relaxed with PBEsol, with properties calculated at the meta-GGA SCAN level.

Results
V = 12.91 A^3/atom

a = 2.8454 Å, b = 5.6059 Å, c = 5.6059 Å
α = 120.00°, β = 90.00°, γ = 90.00°
Element x y z (fractional)
C1 0.5000 0.3333 0.6667
Ag1 0.0000 0.0000 0.3849
C2 0.0000 0.0000 0.0000
Ag2 0.0000 0.3849 0.0000
Ag3 0.0000 0.6151 0.6151
C3 0.5000 0.6667 0.3333



Version 4
Below is a crystal of AgC relaxed with PBEsol, with properties calculated at the meta-GGA SCAN level.

Results
V = 12.09 A^3/atom

a = 3.2096 Å, b = 3.2096 Å, c = 5.2142 Å
α = 107.93°, β = 107.93°, γ = 90.00°
Element x y z (fractional)
Ag1 0.0000 0.0000 0.0000
C1 0.5000 0.5000 0.0000
C2 0.7500 0.2500 0.5000
Ag2 0.2500 0.7500 0.5000



Most stable of them? version 1.



Version 1
Below is a crystal of CoAg3C relaxed with PBEsol, with properties calculated at the meta-GGA SCAN level.

Results
V = 20.08 A^3/atom

a = 4.6480 Å, b = 4.6480 Å, c = 4.6480 Å
α = 90.00°, β = 90.00°, γ = 90.00°
Element x y z (fractional)
Ag1 0.0000 0.0000 0.5000
Ag2 0.5000 0.0000 0.0000
Co1 0.0000 0.0000 0.0000
Ag3 0.0000 0.5000 0.0000
C1 0.5000 0.5000 0.5000



Version 2
Below is a crystal of CoAg3C relaxed with PBEsol, with properties calculated at the meta-GGA SCAN level.

Results
V = 14.48 A^3/atom

a = 4.1681 Å, b = 4.1681 Å, c = 4.1681 Å
α = 90.00°, β = 90.00°, γ = 90.00°
Element x y z (fractional)
Co1 0.5000 0.5000 0.5000
Ag1 0.0000 0.0000 0.5000
Ag2 0.0000 0.5000 0.0000
C1 0.0000 0.0000 0.0000
Ag3 0.5000 0.0000 0.0000



Most stable of them? version 2.



Version 1
Below is a crystal of AgPb3C relaxed with PBEsol, with properties calculated at the meta-GGA SCAN level.

Results
V = 30.67 A^3/atom

a = 5.3524 Å, b = 5.3524 Å, c = 5.3524 Å
α = 90.00°, β = 90.00°, γ = 90.00°
Element x y z (fractional)
Ag1 0.0000 0.0000 0.0000
Pb1 0.0000 0.0000 0.5000
C1 0.5000 0.5000 0.5000
Pb2 0.5000 0.0000 0.0000
Pb3 0.0000 0.5000 0.0000



Version 2
Below is a crystal of AgPb3C relaxed with PBEsol, with properties calculated at the meta-GGA SCAN level.

Results
V = 23.72 A^3/atom

a = 4.9129 Å, b = 4.9129 Å, c = 4.9129 Å
α = 90.00°, β = 90.00°, γ = 90.00°
Element x y z (fractional)
Pb1 0.5000 0.0000 0.0000
Ag1 0.5000 0.5000 0.5000
C1 0.0000 0.0000 0.0000
Pb2 0.0000 0.5000 0.0000
Pb3 0.0000 0.0000 0.5000



Most stable of them? version 2.



Version 1
Below is a crystal of AgTeC3 relaxed with PBEsol, with properties calculated at the meta-GGA SCAN level.

Results
V = 14.22 A^3/atom

a = 4.1423 Å, b = 4.1423 Å, c = 4.1423 Å
α = 90.00°, β = 90.00°, γ = 90.00°
Element x y z (fractional)
C1 0.0000 0.5000 0.0000
C2 0.5000 0.0000 0.0000
Te1 0.5000 0.5000 0.5000
Ag1 0.0000 0.0000 0.0000
C3 0.0000 0.0000 0.5000



Version 2
Below is a crystal of AgTeC3 relaxed with PBEsol, with properties calculated at the meta-GGA SCAN level.

Results
V = 14.52 A^3/atom

a = 4.1716 Å, b = 4.1716 Å, c = 4.1716 Å
α = 90.00°, β = 90.00°, γ = 90.00°
Element x y z (fractional)
C1 0.0000 0.0000 0.5000
C2 0.0000 0.5000 0.0000
Ag1 0.5000 0.5000 0.5000
Te1 0.0000 0.0000 0.0000
C3 0.5000 0.0000 0.0000



Most stable of them? version 2.



Version 1
Below is a crystal of Ca5Ag3 relaxed with PBEsol, with properties calculated at the meta-GGA SCAN level.

Results
V = 27.74 A^3/atom

a = 6.2790 Å, b = 8.9751 Å, c = 8.9751 Å
α = 82.97°, β = 69.52°, γ = 69.52°
Element x y z (fractional)
Ag1 0.1589 0.5000 0.1821
Ca1 0.2125 0.7059 0.8691
Ca2 0.0816 0.1309 0.7059
Ag2 0.8411 0.5000 0.8179
Ca3 0.9184 0.8691 0.2941
Ag3 0.7500 0.0000 0.0000
Ag4 0.3411 0.8179 0.5000
Ca4 0.7875 0.2941 0.1309
Ca5 0.5816 0.7059 0.1309
Ca6 0.2875 0.1309 0.2941
Ag5 0.2500 0.0000 0.0000
Ca7 0.7500 0.5000 0.5000
Ca8 0.4184 0.2941 0.8691
Ca9 0.2500 0.5000 0.5000
Ag6 0.6589 0.1821 0.5000
Ca10 0.7125 0.8691 0.7059



Version 2
Below is a crystal of Ca5Ag3 relaxed with PBEsol, with properties calculated at the meta-GGA SCAN level.

Results
V = 28.13 A^3/atom

a = 6.4788 Å, b = 8.9569 Å, c = 8.9569 Å
α = 120.00°, β = 90.00°, γ = 90.00°
Element x y z (fractional)
Ca1 0.0000 0.6667 0.3333
Ag1 0.7500 0.3946 0.3946
Ag2 0.2500 0.3946 0.0000
Ca2 0.7500 0.7448 0.7448
Ca3 0.7500 0.2552 0.0000
Ca4 0.2500 0.0000 0.7448
Ag3 0.2500 0.0000 0.3946
Ca5 0.2500 0.7448 0.0000
Ag4 0.7500 0.0000 0.6054
Ca6 0.0000 0.3333 0.6667
Ag5 0.7500 0.6054 0.0000
Ag6 0.2500 0.6054 0.6054
Ca7 0.5000 0.3333 0.6667
Ca8 0.2500 0.2552 0.2552
Ca9 0.5000 0.6667 0.3333
Ca10 0.7500 0.0000 0.2552



Most stable of them? version 2.



Version 1
Below is a crystal of Ca3Ag relaxed with PBEsol, with properties calculated at the meta-GGA SCAN level.

Results
V = 31.97 A^3/atom

a = 3.6985 Å, b = 3.6985 Å, c = 9.3483 Å
α = 90.00°, β = 90.00°, γ = 90.07°
Element x y z (fractional)
Ca1 0.5000 0.5000 0.1884
Ca2 0.5000 0.5000 0.8116
Ca3 0.0000 0.0000 0.5000
Ag1 0.0000 0.0000 0.0000



Version 2
Below is a crystal of Ca3Ag relaxed with PBEsol, with properties calculated at the meta-GGA SCAN level.

Results
V = 33.19 A^3/atom

a = 4.2372 Å, b = 8.0711 Å, c = 8.0711 Å
α = 105.83°, β = 90.00°, γ = 90.00°
Element x y z (fractional)
Ca1 0.7500 0.4359 0.1772
Ag1 0.7500 0.2739 0.7261
Ag2 0.2500 0.7261 0.2739
Ca2 0.7500 0.8228 0.5641
Ca3 0.7500 0.8885 0.1115
Ca4 0.2500 0.1115 0.8885
Ca5 0.2500 0.1772 0.4359
Ca6 0.2500 0.5641 0.8228



Version 3
Below is a crystal of Ca3Ag relaxed with PBEsol, with properties calculated at the meta-GGA SCAN level.

Results
V = 32.68 A^3/atom

a = 3.7914 Å, b = 6.0699 Å, c = 6.7127 Å
α = 116.88°, β = 106.40°, γ = 90.00°
Element x y z (fractional)
Ca1 0.5000 0.4032 0.0000
Ca2 0.3009 0.6845 0.6018
Ca3 0.6991 0.0827 0.3982
Ag1 0.0000 0.9962 0.0000



Most stable of them? version 1.